1.
This record from Alexandria describes LiSc2Zn8 after structural relaxation. The functional is GGA-PBE.

Cell and atoms, written as POSCAR:
```
LiSc2Zn8
1.0
4.194 0.000 -1.273
-0.622 5.771 -2.048
-0.108 0.406 7.188
Li Sc Zn
1 2 8
direct
0.500 0.000 0.000
0.216 0.655 0.433
0.784 0.345 0.567
0.660 0.881 0.320
0.410 0.560 0.821
0.145 0.130 0.290
0.984 0.280 0.968
0.855 0.870 0.710
0.590 0.440 0.179
0.340 0.119 0.680
0.016 0.720 0.032
```

Calculated formation energy, eV per atom: -0.2086
Uncorrected energy, eV per atom: -2.46
Magnetization, μB per atom: 0.000
N(E_F), states/eV/f.u.: 4.10

---

2.
This record from Alexandria describes CaErCd after structural relaxation. The functional is GGA-PBE.

Cell and atoms, written as POSCAR:
```
CaErCd
1.0
3.615 0.000 0.000
0.000 5.327 0.000
0.000 -2.663 4.613
Ca Cd Er
1 1 1
direct
0.382 0.333 0.667
0.678 0.667 0.333
0.940 0.000 0.000
```

Calculated formation energy, eV per atom: -0.0323
Uncorrected energy, eV per atom: -2.53
Magnetization, μB per atom: 0.000
N(E_F), states/eV/f.u.: 4.22

---

3.
This record from Alexandria describes PaPdPt after structural relaxation. The functional is GGA-PBE.

Cell and atoms, written as POSCAR:
```
PaPdPt
1.0
5.041 0.000 0.000
0.000 3.386 0.000
0.000 1.693 7.340
Pt Pd Pa
2 2 2
direct
0.750 0.836 0.328
0.250 0.164 0.672
0.500 0.000 0.000
0.000 0.000 0.000
0.750 0.650 0.701
0.250 0.350 0.299
```

Calculated formation energy, eV per atom: -0.5543
Uncorrected energy, eV per atom: -7.46
Magnetization, μB per atom: 0.000
N(E_F), states/eV/f.u.: 3.06

---

4.
This record from Alexandria describes Tb2PmEr5Th after structural relaxation. The functional is GGA-PBE.

Cell and atoms, written as POSCAR:
```
Tb2PmEr5Th
1.0
-7.638 -4.178 -0.681
3.151 -6.548 4.843
-0.185 8.790 4.132
Tb Pm Er Th
4 2 10 2
direct
0.115 0.385 0.000
0.615 0.115 0.000
0.385 0.885 0.000
0.885 0.615 0.000
0.250 0.750 0.500
0.750 0.250 0.500
0.927 0.427 0.273
0.655 0.155 0.727
0.073 0.573 0.727
0.155 0.073 0.727
0.573 0.655 0.727
0.845 0.927 0.273
0.427 0.345 0.273
0.345 0.845 0.273
0.500 0.500 0.000
0.000 0.000 0.000
0.250 0.250 0.500
0.750 0.750 0.500
```

Calculated formation energy, eV per atom: 0.3081
Uncorrected energy, eV per atom: -4.61
Magnetization, μB per atom: 0.000
N(E_F), states/eV/f.u.: 10.92

---

5.
This record from Alexandria describes YNb4Cd2 after structural relaxation. The functional is GGA-PBE.

Cell and atoms, written as POSCAR:
```
YNb4Cd2
1.0
4.800 0.000 0.000
0.000 4.800 0.000
2.400 2.400 7.362
Y Nb Cd
1 4 2
direct
0.000 0.000 0.000
0.816 0.816 0.368
0.184 0.184 0.632
0.000 0.500 0.000
0.500 0.000 0.000
0.627 0.627 0.746
0.373 0.373 0.254
```

Calculated formation energy, eV per atom: 1.7449
Uncorrected energy, eV per atom: -5.19
Magnetization, μB per atom: 0.000
N(E_F), states/eV/f.u.: 10.00

---

6.
This record from Alexandria describes CaSiNO2 after structural relaxation. The functional is GGA-PBE.

Cell and atoms, written as POSCAR:
```
CaSiNO2
1.0
3.682 0.000 0.000
0.000 3.682 0.000
0.000 0.000 3.592
Ca Si O N
1 1 2 1
direct
0.500 0.500 0.500
0.000 0.000 0.000
0.000 0.500 0.000
0.500 0.000 0.000
0.000 0.000 0.500
```

Uncorrected energy, eV per atom: -6.96
Energy relative to the elements, uncorrected, meV/atom: -1827
Magnetization, μB per atom: 0.000
N(E_F), states/eV/f.u.: 0.83

---

7.
This record from Alexandria describes CsTc2Rh after structural relaxation. The functional is GGA-PBE.

Cell and atoms, written as POSCAR:
```
CsTc2Rh
1.0
-3.028 -1.187 3.319
-4.103 2.163 0.283
-3.902 -2.263 -1.116
Cs Rh Tc
1 1 2
direct
0.500 0.500 0.500
0.000 0.000 0.000
0.250 0.250 0.250
0.750 0.750 0.750
```

Calculated formation energy, eV per atom: 1.7061
Uncorrected energy, eV per atom: -5.53
Magnetization, μB per atom: 0.001
N(E_F), states/eV/f.u.: 8.79